Crystalline HfNb2Re at its relaxed geometry, computed with PBE-GGA. Values from VASP.

Properties
Calculated total energy (eV/atom): -10.4018

Geometry as Quantum ESPRESSO input:
```
&SYSTEM
  ibrav = 0, nat = 8, ntyp = 3
/
ATOMIC_SPECIES
Hf 178.49 Hf.upf
Nb 92.91 Nb.upf
Re 186.21 Re.upf
CELL_PARAMETERS angstrom
1.567 -2.404 0.000
1.567 2.404 0.000
0.000 0.000 19.504
ATOMIC_POSITIONS crystal
Hf 0.000 0.000 0.000
Hf 0.000 0.000 0.500
Nb 0.484 0.516 0.631
Nb 0.484 0.516 0.869
Nb 0.516 0.484 0.131
Nb 0.516 0.484 0.369
Re 0.249 0.751 0.750
Re 0.751 0.249 0.250
```

***

Crystalline HfZnRe at its relaxed geometry, computed with PBE-GGA. Values from VASP.

Properties
Energy above the lowest structure with this stoichiometry (meV/atom): 336

Geometry as Quantum ESPRESSO input:
```
&SYSTEM
  ibrav = 0, nat = 3, ntyp = 3
/
ATOMIC_SPECIES
Hf 178.49 Hf.upf
Zn 65.41 Zn.upf
Re 186.21 Re.upf
CELL_PARAMETERS angstrom
0.000 3.132 3.132
3.132 0.000 3.132
3.132 3.132 0.000
ATOMIC_POSITIONS crystal
Hf 0.000 0.000 0.000
Zn 0.250 0.250 0.250
Re 0.750 0.750 0.750
```

***

Crystalline CdS at its relaxed geometry, computed with PBE-GGA. Values from VASP.

Properties
Calculated total energy (eV/atom): -2.9318

Geometry as Quantum ESPRESSO input:
```
&SYSTEM
  ibrav = 0, nat = 4, ntyp = 2
/
ATOMIC_SPECIES
Cd 112.41 Cd.upf
S 32.06 S.upf
CELL_PARAMETERS angstrom
2.668 -2.673 0.000
2.668 2.673 0.000
-1.877 0.000 21.420
ATOMIC_POSITIONS crystal
Cd 0.231 0.231 0.445
Cd 0.769 0.769 0.555
S 0.275 0.275 0.571
S 0.725 0.725 0.429
```